No. 1
This record from the Alexandria database describes a geometry-optimized Ta2AsBr structure. The functional is PBE.

- E above lowest polymorph: 510.1 meV/atom
- Energy relative to the elements, uncorrected: 0.3674 eV per atom
- Density of states at the Fermi level: 6.2 states/eV per cell
- Total magnetic moment: 0.00 μB per formula unit
- Density: 11.373 g/cm³

Cell: 3.337 5.220 8.661 Å, 90.00 90.00 90.00°
Space group Cmmm (No. 65)
One atom of each set of equivalent atoms:
1 Ta 0.000 0.000 0.228 (multiplicity 4)
2 As 0.000 0.500 0.000 (multiplicity 2)
3 Br 0.000 0.500 0.500 (multiplicity 2)

No. 2
This record from the Alexandria database describes a geometry-optimized CdPbBr2 structure. The functional is PBE.

- E above lowest polymorph: 13.8 meV/atom
- Energy relative to the elements, uncorrected: -0.5240 eV per atom
- Total magnetic moment: 0.00 μB per formula unit
- Density: 4.704 g/cm³

Cell: 7.648 4.412 10.331 Å, 90.00 103.83 90.00°
Space group C2/m (No. 12)
One atom of each set of equivalent atoms:
1 Cd 0.000 0.000 0.000 (multiplicity 2)
2 Pb 0.000 0.500 0.500 (multiplicity 2)
3 Br 0.222 0.000 0.671 (multiplicity 4)

No. 3
This record from the Alexandria database describes a geometry-optimized AlVH3 structure. The functional is PBE.

- E above lowest polymorph: 464.8 meV/atom
- Density of states at the Fermi level: 2.2 states/eV per cell
- Total magnetic moment: 1.55 μB per formula unit
- Density: 3.382 g/cm³

Cell: 3.413 3.413 3.413 Å, 90.00 90.00 90.00°
Space group Pm-3m (No. 221)
One atom of each set of equivalent atoms:
1 Al 0.000 0.000 0.000 (multiplicity 1)
2 V 0.500 0.500 0.500 (multiplicity 1)
3 H 0.000 0.000 0.500 (multiplicity 3)

No. 4
This record from the Alexandria database describes a geometry-optimized CdAgMo2 structure. The functional is PBE.

- Density of states at the Fermi level: 3.1 states/eV per cell
- Formation enthalpy at 0 K: 0.467 eV per atom
- Total magnetic moment: 0.00 μB per formula unit
- Density: 10.012 g/cm³

Cell: 5.397 9.301 2.724 Å, 90.00 91.28 90.00°
Space group C2/m (No. 12)
One atom of each set of equivalent atoms:
1 Cd 0.000 0.000 0.000 (multiplicity 2)
2 Ag 0.000 0.500 0.000 (multiplicity 2)
3 Mo 0.250 0.250 0.500 (multiplicity 4)

No. 5
This record from the Alexandria database describes a geometry-optimized LaDy2Cu9 structure. The functional is PBE.

- Density of states at the Fermi level: 15.8 states/eV per cell
- Formation enthalpy at 0 K: -0.180 eV per atom
- Total magnetic moment: 0.00 μB per formula unit
- Density: 8.675 g/cm³

Cell: 5.2884 5.2884 16.3729 Å, 90.00 90.00 120.00°
Space group P6_3/mmc (No. 194)
One atom of each set of equivalent atoms:
1 La 0.3333 0.6667 0.2500 (multiplicity 2)
2 Dy 0.3333 0.6667 0.0325 (multiplicity 4)
3 Cu 0.0000 0.0000 0.0000 (multiplicity 2)
4 Cu 0.0000 0.0000 0.2500 (multiplicity 2)
5 Cu 0.1667 0.3334 0.6252 (multiplicity 12)
6 Cu 0.3333 0.6667 0.7500 (multiplicity 2)

No. 6
This record from the Alexandria database describes a geometry-optimized NiRu3W structure. The functional is PBE.

- E above lowest polymorph: 279.0 meV/atom
- Density of states at the Fermi level: 5.4 states/eV per cell
- Formation enthalpy at 0 K: 1.851 eV per atom
- Total magnetic moment: 3.44 μB per formula unit
- Density: 8.954 g/cm³

Cell: 4.660 4.660 4.660 Å, 90.00 90.00 90.00°
Space group Pm-3m (No. 221)
One atom of each set of equivalent atoms:
1 Ni 0.000 0.000 0.000 (multiplicity 1)
2 Ru 0.000 0.500 0.500 (multiplicity 3)
3 W 0.500 0.500 0.500 (multiplicity 1)

No. 7
This record from the Alexandria database describes a geometry-optimized La2Bi2Au structure. The functional is PBE.

- E above lowest polymorph: 0.0 meV/atom
- Density of states at the Fermi level: 6.5 states/eV per cell
- Formation enthalpy at 0 K: -0.696 eV per atom
- Total magnetic moment: 0.00 μB per formula unit
- Density: 8.974 g/cm³

Cell: 8.446 8.446 4.631 Å, 90.00 90.00 90.00°
Space group P4/mbm (No. 127)
One atom of each set of equivalent atoms:
1 La 0.173 0.327 0.000 (multiplicity 4)
2 Bi 0.132 0.632 0.500 (multiplicity 4)
3 Au 0.000 0.000 0.000 (multiplicity 2)

No. 8
This record from the Alexandria database describes a geometry-optimized K3Ac2ScSe6 structure. The functional is PBE.

- Energy relative to the elements, uncorrected: -1.7197 eV per atom
- Density of states at the Fermi level: 0.0 states/eV per cell
- Total magnetic moment: 0.00 μB per formula unit
- Density: 4.663 g/cm³

Cell: 7.620 13.205 8.129 Å, 90.00 108.36 90.00°
Space group C2/m (No. 12)
One atom of each set of equivalent atoms:
1 K 0.000 0.000 0.000 (multiplicity 2)
2 K 0.000 0.332 0.000 (multiplicity 4)
3 Ac 0.000 0.166 0.500 (multiplicity 4)
4 Sc 0.000 0.500 0.500 (multiplicity 2)
5 Se 0.222 0.348 0.709 (multiplicity 8)
6 Se 0.233 0.500 0.292 (multiplicity 4)

- total magnetic moment of number 4 (CdAgMo2)?
  0.00 μB per formula unit

- What is the formula in the third record?
  AlVH3